First-principles (PBE+U) data for a relaxed Cs2Rb4Co2O5 crystal, as listed in OQMD via LeMat-Bulk.

a b c (Å): 6.9750 6.9750 6.9887
angles (deg): 92.53 92.53 117.08
With the nearest neighbours (Å) after each atom.
Fractional coordinates of all 13 atoms:
1 Cs 0.2007 0.7993 0.0000  4 O 2.86-3.06
2 Cs 0.7993 0.2007 0.0000  4 O 2.86-3.06
3 Rb 0.2302 0.7518 0.5006  4 O 2.79-2.97
4 Rb 0.3506 0.3506 0.1880  5 O 2.95-3.27, 1 Co 3.23
5 Rb 0.6298 0.6298 0.8064  2 O 2.79
6 Rb 0.7518 0.2302 0.5006  4 O 2.79-2.97
7 Co 0.2022 0.2022 0.6545  3 O 1.85-1.88
8 Co 0.7885 0.7885 0.3087  3 O 1.82-1.96
9 O 0.0386 0.0386 0.4366  2 Co 1.85-1.96
10 O 0.1794 0.4381 0.7733  1 Co 1.88
11 O 0.4381 0.1794 0.7733  1 Co 1.88
12 O 0.5516 0.8249 0.2476  1 Co 1.82
13 O 0.8249 0.5516 0.2476  1 Co 1.82

Calculated values
The calculation puts the total DFT energy (no corrections) at -4.23 eV/atom. For the energy relative to the lowest polymorph listed for this composition, the calculation gives 0.021 eV/atom.